P:
# KRh2F (PBE-GGA, optimized geometry)
data_KRh2F
_chemical_formula_sum 'K4 Rh8 F4'
_cell_length_a 6.5821
_cell_length_b 6.5821
_cell_length_c 6.5821
_cell_angle_alpha 90.00
_cell_angle_beta 90.00
_cell_angle_gamma 90.00
_symmetry_space_group_name_H-M 'F m -3 m'
_symmetry_Int_Tables_number 225
_symmetry_space_group_name_Hall '-F 4 2 3'
loop_
_atom_site_label
_atom_site_fract_x
_atom_site_fract_y
_atom_site_fract_z
_atom_site_occupancy
K1 0.0000 0.0000 0.0000 1
Rh1 0.2500 0.2500 0.2500 1
F1 0.0000 0.0000 0.5000 1
# - crystal system = cubic
# - volume (Å³/cell) = 285.2

***

Q:
# KRh2F (PBE-GGA, optimized geometry)
data_KRh2F
_chemical_formula_sum 'K4 Rh8 F4'
_cell_length_a 4.7649
_cell_length_b 4.7649
_cell_length_c 16.4075
_cell_angle_alpha 90.00
_cell_angle_beta 90.00
_cell_angle_gamma 90.00
_symmetry_space_group_name_H-M 'I 41/a m d'
_symmetry_Int_Tables_number 141
loop_
_symmetry_equiv_pos_as_xyz
'x,y,z'
'-x,-y,-z'
'-y+1/4,x+3/4,z+1/4'
'y+1/4,-x+3/4,-z+1/4'
'-x+1/2,-y,z+1/2'
'x+1/2,y,-z+1/2'
'y+1/4,-x+1/4,z+3/4'
'-y+1/4,x+1/4,-z+3/4'
'x,-y,-z'
'-x,y,z'
'-y+1/4,-x+1/4,-z+3/4'
'y+1/4,x+1/4,z+3/4'
'-x+1/2,y,-z+1/2'
'x+1/2,-y,z+1/2'
'y+1/4,x+3/4,-z+1/4'
'-y+1/4,-x+3/4,z+1/4'
'x+1/2,y+1/2,z+1/2'
'-x+1/2,-y+1/2,-z+1/2'
'-y+3/4,x+1/4,z+3/4'
'y+3/4,-x+1/4,-z+3/4'
'-x,-y+1/2,z'
'x,y+1/2,-z'
'y+3/4,-x+3/4,z+1/4'
'-y+3/4,x+3/4,-z+1/4'
'x+1/2,-y+1/2,-z+1/2'
'-x+1/2,y+1/2,z+1/2'
'-y+3/4,-x+3/4,-z+1/4'
'y+3/4,x+3/4,z+1/4'
'-x,y+1/2,-z'
'x,-y+1/2,z'
'y+3/4,x+1/4,-z+3/4'
'-y+3/4,-x+1/4,z+3/4'
loop_
_atom_site_label
_atom_site_fract_x
_atom_site_fract_y
_atom_site_fract_z
_atom_site_occupancy
K1 0.0000 0.2500 0.3750 1
Rh1 0.0000 0.0000 0.0000 1
F1 0.0000 0.2500 0.8750 1
# - crystal system = tetragonal
# - volume (Å³/cell) = 372.5

***

Preferred: Q; penalty for the next structure: 0.676 eV/atom.

***

P:
# K2TlRhF6 (PBE-GGA, optimized geometry)
data_K2TlRhF6
_chemical_formula_sum 'K8 Tl4 Rh4 F24'
_cell_length_a 9.1661
_cell_length_b 9.1661
_cell_length_c 9.1661
_cell_angle_alpha 90.00
_cell_angle_beta 90.00
_cell_angle_gamma 90.00
_symmetry_space_group_name_H-M 'F m -3 m'
_symmetry_Int_Tables_number 225
_symmetry_space_group_name_Hall '-F 4 2 3'
loop_
_atom_site_label
_atom_site_fract_x
_atom_site_fract_y
_atom_site_fract_z
_atom_site_occupancy
K1 0.2500 0.2500 0.2500 1
Tl1 0.0000 0.0000 0.0000 1
Rh1 0.0000 0.0000 0.5000 1
F1 0.0000 0.0000 0.2799 1
# - crystal system = cubic
# - volume (Å³/cell) = 770.1

***

Q:
# K2TlRhF6 (PBE-GGA, optimized geometry)
data_K2TlRhF6
_chemical_formula_sum 'K4 Tl2 Rh2 F12'
_cell_length_a 6.0197
_cell_length_b 9.0349
_cell_length_c 7.2202
_cell_angle_alpha 90.00
_cell_angle_beta 90.00
_cell_angle_gamma 90.00
_symmetry_space_group_name_H-M 'P m m n'
_symmetry_Int_Tables_number 59
loop_
_symmetry_equiv_pos_as_xyz
'x,y,z'
'-x,-y,-z'
'-x+1/2,-y+1/2,z'
'x+1/2,y+1/2,-z'
'x+1/2,-y,-z'
'-x+1/2,y,z'
'-x,y+1/2,-z'
'x,-y+1/2,z'
loop_
_atom_site_label
_atom_site_fract_x
_atom_site_fract_y
_atom_site_fract_z
_atom_site_occupancy
K1 0.2500 0.0395 0.1761 1
Tl1 0.2500 0.2500 0.6804 1
Rh1 0.2500 0.7500 0.8125 1
F1 0.0058 0.7500 0.6215 1
F2 0.0144 0.7500 0.0129 1
F3 0.2500 0.5262 0.8145 1
# - crystal system = orthorhombic
# - volume (Å³/cell) = 392.7

***

Preferred: Q; penalty for the next structure: 0.027 eV/atom.

***

P:
# KRu2F (PBE-GGA, optimized geometry)
data_KRu2F
_chemical_formula_sum 'K4 Ru8 F4'
_cell_length_a 6.6673
_cell_length_b 6.6673
_cell_length_c 6.6673
_cell_angle_alpha 90.00
_cell_angle_beta 90.00
_cell_angle_gamma 90.00
_symmetry_space_group_name_H-M 'F m -3 m'
_symmetry_Int_Tables_number 225
_symmetry_space_group_name_Hall '-F 4 2 3'
loop_
_atom_site_label
_atom_site_fract_x
_atom_site_fract_y
_atom_site_fract_z
_atom_site_occupancy
K1 0.0000 0.0000 0.0000 1
Ru1 0.2500 0.2500 0.2500 1
F1 0.0000 0.0000 0.5000 1
# - crystal system = cubic
# - volume (Å³/cell) = 296.4

***

Q:
# KRu2F (PBE-GGA, optimized geometry)
data_KRu2F
_chemical_formula_sum 'K4 Ru8 F4'
_cell_length_a 4.5740
_cell_length_b 4.5740
_cell_length_c 17.6555
_cell_angle_alpha 90.00
_cell_angle_beta 90.00
_cell_angle_gamma 90.00
_symmetry_space_group_name_H-M 'I -4 2 d'
_symmetry_Int_Tables_number 122
_symmetry_space_group_name_Hall 'I -4 2bw'
loop_
_atom_site_label
_atom_site_fract_x
_atom_site_fract_y
_atom_site_fract_z
_atom_site_occupancy
K1 0.0000 0.0000 0.0000 1
Ru1 0.0096 0.2500 0.6250 1
F1 0.0000 0.0000 0.5000 1
# - crystal system = tetragonal
# - volume (Å³/cell) = 369.4

***

Preferred: Q; penalty for the next structure: 0.849 eV/atom.

***

P:
# KSnRuF2 (PBE-GGA, optimized geometry)
data_KSnRuF2
_chemical_formula_sum 'K1 Sn1 Ru1 F2'
_cell_length_a 4.5488
_cell_length_b 4.5488
_cell_length_c 7.6249
_cell_angle_alpha 90.00
_cell_angle_beta 90.00
_cell_angle_gamma 90.00
_symmetry_space_group_name_H-M 'P 4/m m m'
_symmetry_Int_Tables_number 123
_symmetry_space_group_name_Hall '-P 4 2'
loop_
_atom_site_label
_atom_site_fract_x
_atom_site_fract_y
_atom_site_fract_z
_atom_site_occupancy
K1 0.0000 0.0000 0.0000 1
Sn1 0.0000 0.0000 0.5000 1
Ru1 0.5000 0.5000 0.0000 1
F1 0.0000 0.5000 0.5000 1
# - crystal system = tetragonal
# - volume (Å³/cell) = 157.8

***

Q:
# KSnRuF2 (PBE-GGA, optimized geometry)
data_KSnRuF2
_chemical_formula_sum 'K1 Sn1 Ru1 F2'
_cell_length_a 4.7511
_cell_length_b 4.7511
_cell_length_c 5.1979
_cell_angle_alpha 90.00
_cell_angle_beta 90.00
_cell_angle_gamma 90.00
_symmetry_space_group_name_H-M 'P 4/m m m'
_symmetry_Int_Tables_number 123
_symmetry_space_group_name_Hall '-P 4 2'
loop_
_atom_site_label
_atom_site_fract_x
_atom_site_fract_y
_atom_site_fract_z
_atom_site_occupancy
K1 0.0000 0.0000 0.0000 1
Sn1 0.5000 0.5000 0.5000 1
Ru1 0.5000 0.5000 0.0000 1
F1 0.0000 0.5000 0.5000 1
# - crystal system = tetragonal
# - volume (Å³/cell) = 117.3

***

Preferred: Q; penalty for the next structure: 0.541 eV/atom.